[1]
Below is crystalline Tb8Nd2Tl at its relaxed geometry, with properties calculated at the GGA-PBE level.

Computed properties:
Its formation enthalpy at 0 K is -0.03 eV per atom. The calculation puts the energy above the most stable polymorph in this dataset at 0 meV per atom. Its total magnetization is 0.00 μB/f.u.

POSCAR file:
```
Tb8Nd2Tl
1.0
-2.9600 -1.9815 3.4942
2.3122 -7.2862 -2.1732
7.3547 3.5573 4.6849
Tb Nd Tl
8 2 1
Direct
0.1344 0.1754 0.2688
0.5888 0.4432 0.1776
0.4112 0.5568 0.8224
0.0443 0.7232 0.0887
0.6801 0.9088 0.3603
0.8656 0.8246 0.7312
0.3199 0.0912 0.6397
0.9557 0.2768 0.9113
0.7777 0.3645 0.5555
0.2223 0.6355 0.4445
0.5000 0.0000 0.0000
```

[2]
Below is crystalline Ca2RuBr at its relaxed geometry, with properties calculated at the GGA-PBE level.

Computed properties:
The calculation puts the energy above the most stable polymorph in this dataset at 0 meV per atom. Its total magnetization is 0.16 μB/f.u. The energy relative to the elements, uncorrected is -2.0 eV per formula unit.

POSCAR file:
```
Ca2RuBr
1.0
3.4531 0.0000 0.0000
0.0000 3.4573 0.0357
0.0000 3.3695 7.9497
Ru Ca Br
1 2 1
Direct
0.5000 0.2500 0.2500
0.0000 0.5323 0.4689
0.0000 0.9677 0.0311
0.5000 0.7500 0.7500
```

[3]
Below is crystalline Dy3Ge2Pd6 at its relaxed geometry, with properties calculated at the GGA-PBE level.

Computed properties:
Its formation enthalpy at 0 K is -0.81 eV per atom. Its total magnetization is 0.00 μB/f.u.

POSCAR file:
```
Dy3Ge2Pd6
1.0
7.7070 0.0000 -2.7248
-3.8535 6.6745 -2.7248
0.0000 0.0000 8.1745
Ge Pd Dy
4 12 6
Direct
0.0000 0.5000 0.0000
0.5000 0.5000 0.5000
0.5000 0.0000 0.0000
0.0000 0.0000 0.5000
0.3296 0.0000 0.6704
0.6704 0.6704 0.3409
0.3296 0.6704 0.0000
0.6704 0.3409 0.6704
0.0000 0.6704 0.3296
0.6704 0.0000 0.3296
0.0000 0.3296 0.6704
0.3296 0.3296 0.6591
0.6704 0.3296 0.0000
0.3296 0.6591 0.3296
0.6591 0.3296 0.3296
0.3409 0.6704 0.6704
0.7120 0.0000 0.7120
0.7120 0.7120 0.0000
0.0000 0.2880 0.2880
0.0000 0.7120 0.7120
0.2880 0.2880 0.0000
0.2880 0.0000 0.2880
```

[4]
Below is crystalline Cd2IrBr at its relaxed geometry, with properties calculated at the GGA-PBE level.

Computed properties:
The calculation puts the energy above the most stable polymorph in this dataset at 436 meV per atom. Its total magnetization is 0.00 μB/f.u. The energy relative to the elements, uncorrected is 1.8 eV per formula unit.

POSCAR file:
```
Cd2IrBr
1.0
-0.3984 -3.0794 -0.2349
2.1450 -0.4463 2.2127
-6.1944 0.3380 6.0730
Cd Ir Br
2 1 1
Direct
0.5000 0.5000 0.2878
0.0000 0.0000 0.0150
0.0000 0.0000 0.4935
0.5000 0.5000 0.7036
```

[5]
Below is crystalline MnTcSbPd at its relaxed geometry, with properties calculated at the GGA-PBE level.

Computed properties:
Its total magnetization is 4.27 μB/f.u. The energy relative to the elements, uncorrected is -0.1 eV per formula unit.

POSCAR file:
```
MnTcSbPd
1.0
-1.9828 -4.0196 -0.3464
0.3959 -2.3824 -3.7917
2.4944 -3.7395 -0.0549
Mn Tc Pd Sb
1 1 1 1
Direct
0.2500 0.2500 0.2500
0.5000 0.5000 0.5000
0.0000 0.0000 0.0000
0.7500 0.7500 0.7500
```

[6]
Below is crystalline SrPr3Pu2Se6 at its relaxed geometry, with properties calculated at the GGA-PBE level.

Computed properties:
Its total magnetization is 11.74 μB/f.u. The energy relative to the elements, uncorrected is -21.1 eV per formula unit.

POSCAR file:
```
SrPr3Pu2Se6
1.0
7.3519 -0.0015 -0.0007
-3.6754 6.3672 -0.0007
-1.2269 -2.1243 6.9737
Se Pr Pu Sr
6 3 2 1
Direct
0.2606 0.2606 0.7574
0.9175 0.5766 0.7535
0.4234 0.0825 0.2465
0.0825 0.4234 0.2465
0.7394 0.7394 0.2426
0.5766 0.9175 0.7535
0.8364 0.1636 0.5000
0.1636 0.8364 0.5000
0.5000 0.5000 0.5000
0.6671 0.3329 0.0000
0.3329 0.6671 0.0000
0.0000 0.0000 0.0000
```

[7]
Below is crystalline Na2ZnCdBi at its relaxed geometry, with properties calculated at the GGA-PBE level.

Computed properties:
Its formation enthalpy at 0 K is 0.08 eV per atom. The calculation puts the energy above the most stable polymorph in this dataset at 0 meV per atom. Its total magnetization is 0.00 μB/f.u.

POSCAR file:
```
Na2ZnCdBi
1.0
6.0569 0.0000 0.0000
0.0000 5.6349 0.0000
0.0000 0.0000 6.0569
Na Zn Bi Cd
2 1 1 1
Direct
0.0000 0.0000 0.5000
0.5000 0.0000 0.0000
0.0000 0.5000 0.0000
0.0000 0.0000 0.0000
0.5000 0.5000 0.5000
```

[8]
Below is crystalline LiGe3S at its relaxed geometry, with properties calculated at the GGA-PBE level.

Computed properties:
The calculation puts the energy above the most stable polymorph in this dataset at 0 meV per atom. Its total magnetization is 0.00 μB/f.u. The energy relative to the elements, uncorrected is 2.1 eV per formula unit.

POSCAR file:
```
LiGe3S
1.0
-0.9239 4.4947 1.9696
-4.4336 -1.6236 1.6254
2.1035 -1.4480 4.2911
Ge S Li
3 1 1
Direct
0.5000 0.0000 0.0000
0.0000 0.0000 0.5000
0.0000 0.5000 0.0000
0.0000 0.0000 0.0000
0.5000 0.5000 0.5000
```

Q: Which formula does entry 3 have?
A: Dy3Ge2Pd6